[1]
Li2MgCd | the Open Quantum Materials Database | PBE | relaxed; space-group type = No. 225; offset from the most stable computed form = 10.1 meV/atom
1.0
4.605 0.000 0.000
0.000 6.517 0.000
0.000 0.000 13.824
Cd Li Mg
6 12 6
Direct
0.000 0.500 0.000 Cd
0.500 0.000 0.167 Cd
0.000 0.500 0.333 Cd
0.500 0.000 0.500 Cd
0.000 0.500 0.667 Cd
0.500 0.000 0.833 Cd
0.500 0.250 0.000 Li
0.500 0.750 0.000 Li
0.000 0.250 0.167 Li
0.000 0.750 0.167 Li
0.500 0.250 0.333 Li
0.500 0.750 0.333 Li
0.000 0.250 0.500 Li
0.000 0.750 0.500 Li
0.500 0.250 0.667 Li
0.500 0.750 0.667 Li
0.000 0.250 0.833 Li
0.000 0.750 0.833 Li
0.000 0.000 0.000 Mg
0.500 0.500 0.167 Mg
0.000 0.000 0.333 Mg
0.500 0.500 0.500 Mg
0.000 0.000 0.667 Mg
0.500 0.500 0.833 Mg

[2]
ScNbBi2 | the Open Quantum Materials Database | PBE | relaxed; magnetic moment = 2.0 μB per cell; space-group type = No. 216
1.0
-2.999 -4.028 1.197
-5.105 0.626 0.450
-3.169 -2.004 -3.549
Bi Nb Sc
2 1 1
Direct
0.000 0.000 0.000 Bi
0.750 0.750 0.750 Bi
0.500 0.500 0.500 Nb
0.250 0.250 0.250 Sc

[3]
TbPrHg | the Open Quantum Materials Database | PBE | relaxed; magnetic moment = 0.3 μB per cell; space-group type = No. 216; offset from the most stable computed form = 239.7 meV/atom; ΔE_f = -0.10 eV per atom
1.0
1.347 -3.421 3.676
-2.713 -0.262 4.427
-3.027 -4.118 0.954
Hg Pr Tb
1 1 1
Direct
0.000 0.000 0.000 Hg
0.250 0.250 0.250 Pr
0.750 0.750 0.750 Tb

[4]
Cd2SnW | the Open Quantum Materials Database | PBE | relaxed; magnetic moment = 0.1 μB per cell; space-group type = No. 216
1.0
0.000 3.427 3.427
3.427 0.000 3.427
3.427 3.427 0.000
Cd Sn W
2 1 1
Direct
0.000 0.000 0.000 Cd
0.750 0.750 0.750 Cd
0.500 0.500 0.500 Sn
0.250 0.250 0.250 W

[5]
Mg2Pt2W3 | the Open Quantum Materials Database | PBE | relaxed; magnetic moment = 0.1 μB per cell; space-group type = No. 160
1.0
-5.919 2.786 2.786
-2.786 2.786 5.919
-2.786 5.919 2.786
Mg Pt W
2 2 3
Direct
0.191 0.191 0.191 Mg
0.769 0.769 0.769 Mg
0.052 0.052 0.052 Pt
0.484 0.484 0.484 Pt
0.336 0.336 0.336 W
0.624 0.624 0.624 W
0.919 0.919 0.919 W

[6]
Y2GaCu2 | the Open Quantum Materials Database | PBE | relaxed; magnetic moment = 0.0 μB per cell; space-group type = No. 139
1.0
-2.704 2.704 3.630
2.704 -2.704 3.630
2.704 2.704 -3.630
Cu Ga Y
2 1 2
Direct
0.346 0.346 0.000 Cu
0.654 0.654 0.000 Cu
0.000 0.000 0.000 Ga
0.750 0.250 0.500 Y
0.250 0.750 0.500 Y

[7]
NaTmGa | the Open Quantum Materials Database | PBE | relaxed; magnetic moment = 1.0 μB per cell; space-group type = No. 216; offset from the most stable computed form = 0.0 meV/atom
1.0
0.000 3.467 3.467
3.467 0.000 3.467
3.467 3.467 0.000
Ga Na Tm
1 1 1
Direct
0.000 0.000 0.000 Ga
0.250 0.250 0.250 Na
0.750 0.750 0.750 Tm

[8]
HfMgTlIr | the Open Quantum Materials Database | PBE | relaxed; magnetic moment = 0.0 μB per cell; space-group type = No. 216; offset from the most stable computed form = 21.4 meV/atom
1.0
3.587 -2.613 1.554
-0.310 -4.691 -0.059
2.585 -2.489 -3.039
Hf Ir Mg Tl
1 1 1 1
Direct
0.000 0.000 0.000 Hf
0.250 0.250 0.250 Ir
0.750 0.750 0.750 Mg
0.500 0.500 0.500 Tl

Computed density (g/cm³) in order:
3.6, 9.5, 8.4, 10.9, 14.6, 5.9, 5.2, 13.5
Computed E_tot (eV per cell) in order:
-41.634, -23.288, -9.991, -15.567, -54.764, -24.177, -8.567, -23.497